Entry 1:
La2AlHg2 | PBE-GGA | optimized geometry

```
10
Lattice="7.5081 0.0000 0.0000 0.0000 7.5081 0.0000 0.0000 0.0000 4.9148" Properties=species:S:1:pos:R:3 pbc="T T T"
La 1.2673 2.4868 0.0000
La 2.4868 6.2408 0.0000
La 5.0213 1.2673 0.0000
La 6.2408 5.0213 0.0000
Al 0.0000 0.0000 2.4574
Al 3.7540 3.7540 2.4574
Hg 1.0507 4.8048 2.4574
Hg 2.7033 1.0507 2.4574
Hg 4.8048 6.4574 2.4574
Hg 6.4574 2.7033 2.4574
```

Results
DOS at the Fermi energy: 1.051 states/eV per atom
Energy of formation from the pure elements: -0.392 eV/atom
Excess energy over the best structure of this formula in the dataset: 0.33 eV/f.u.

---

Entry 2:
FeCu2Se | PBE-GGA | optimized geometry

```
8
Lattice="3.1302 0.0000 0.0000 0.0000 3.9727 0.0000 0.0000 0.0000 8.7460" Properties=species:S:1:pos:R:3 pbc="T T T"
Fe 0.0000 0.0000 0.0000
Fe 1.5651 1.9863 4.3730
Cu 0.0000 1.9863 2.1190
Cu 0.0000 1.9863 6.6270
Cu 1.5651 0.0000 2.2540
Cu 1.5651 0.0000 6.4920
Se 0.0000 0.0000 4.3730
Se 1.5651 1.9863 0.0000
```

Results
Electronic total energy: -4.765 eV per atom
DOS at the Fermi energy: 0.711 states/eV per atom

---

Entry 3:
LaTiBe2Ni | PBE-GGA | optimized geometry

```
5
Lattice="4.2899 0.0000 0.0000 0.0000 4.2899 0.0000 0.0000 0.0000 4.6091" Properties=species:S:1:pos:R:3 pbc="T T T"
La 0.0000 0.0000 0.0000
Ti 2.1449 2.1449 0.0000
Be 0.0000 2.1449 2.3046
Be 2.1449 0.0000 2.3046
Ni 2.1449 2.1449 2.3046
```

Results
DOS at the Fermi energy: 0.785 states/eV per atom
Energy of formation from the pure elements: 0.122 eV/atom

---

Entry 4:
Sc3PRu | PBE-GGA | optimized geometry

```
5
Lattice="4.7896 0.0000 0.0000 0.0000 4.7896 0.0000 0.0000 0.0000 4.7896" Properties=species:S:1:pos:R:3 pbc="T T T"
Sc 0.0000 0.0000 2.3948
Sc 0.0000 2.3948 0.0000
Sc 2.3948 0.0000 0.0000
P 0.0000 0.0000 0.0000
Ru 2.3948 2.3948 2.3948
```

Results
DOS at the Fermi energy: 0.800 states/eV per atom
Energy of formation from the pure elements: -0.120 eV/atom
Excess energy over the best structure of this formula in the dataset: 0.00 eV/f.u.

---

Entry 5:
Pm2PrBrO4 | PBE-GGA | optimized geometry

```
8
Lattice="4.0567 0.0000 0.0000 0.0000 4.0567 0.0000 0.0000 0.0000 9.4684" Properties=species:S:1:pos:R:3 pbc="T T T"
Pm 0.0000 0.0000 2.2808
Pm 0.0000 0.0000 7.1876
Pr 2.0283 2.0283 4.7342
Br 2.0283 2.0283 0.0000
O 0.0000 2.0283 3.2581
O 0.0000 2.0283 6.2103
O 2.0283 0.0000 3.2581
O 2.0283 0.0000 6.2103
```

Results
Electronic total energy: -7.582 eV per atom
DOS at the Fermi energy: 0.000 states/eV per atom

---

Entry 6:
Mn2TeCl | PBE-GGA | optimized geometry

```
8
Lattice="3.8846 0.0000 0.0000 0.0000 5.8105 0.0000 0.0000 0.0000 7.5705" Properties=species:S:1:pos:R:3 pbc="T T T"
Mn 0.0000 0.0000 1.8844
Mn 0.0000 0.0000 5.6861
Mn 1.9423 2.9052 1.8844
Mn 1.9423 2.9052 5.6861
Te 0.0000 2.9052 3.7853
Te 1.9423 0.0000 3.7853
Cl 0.0000 2.9052 0.0000
Cl 1.9423 0.0000 0.0000
```

Results
DOS at the Fermi energy: 0.719 states/eV per atom
Excess energy over the best structure of this formula in the dataset: 1.28 eV/f.u.

---

Entry 7:
YTmHgRu | PBE-GGA | optimized geometry

```
4
Lattice="3.4649 0.0000 0.0000 0.0000 3.4649 0.0000 0.0000 0.0000 7.4417" Properties=species:S:1:pos:R:3 pbc="T T T"
Y 0.0000 0.0000 0.0000
Tm 0.0000 0.0000 4.1521
Hg 1.7324 1.7324 2.1193
Ru 1.7324 1.7324 5.7430
```

Results
DOS at the Fermi energy: 0.609 states/eV per atom
Energy of formation from the pure elements: -0.505 eV/atom
Excess energy over the best structure of this formula in the dataset: 0.00 eV/f.u.

---

Entry 8:
PuTiPb2 | PBE-GGA | optimized geometry

```
12
Lattice="3.3702 0.0000 0.0000 -1.6851 2.9187 0.0000 0.0000 0.0000 30.6834" Properties=species:S:1:pos:R:3 pbc="T T T"
Pu 0.0000 0.0000 0.0000
Pu 0.0000 1.9458 20.4556
Pu 1.6851 0.9729 10.2278
Ti 0.0000 0.0000 15.3417
Ti 0.0000 1.9458 5.1139
Ti 1.6851 0.9729 25.5695
Pb 0.0000 0.0000 7.4293
Pb 0.0000 0.0000 23.2542
Pb 0.0000 1.9458 13.0263
Pb 0.0000 1.9458 27.8849
Pb 1.6851 0.9729 2.7985
Pb 1.6851 0.9729 17.6571
```

Results
DOS at the Fermi energy: 2.601 states/eV per atom
Energy of formation from the pure elements: 0.087 eV/atom
Excess energy over the best structure of this formula in the dataset: 0.22 eV/f.u.

---

Entry 9:
SmHoEr2Tm4 | PBE-GGA | optimized geometry

```
8
Lattice="4.9681 0.0000 0.0000 0.0000 4.9681 0.0000 0.0000 0.0000 9.9311" Properties=species:S:1:pos:R:3 pbc="T T T"
Sm 0.0000 0.0000 0.0000
Ho 2.4841 2.4841 4.9655
Er 0.0000 0.0000 4.9655
Er 2.4841 2.4841 0.0000
Tm 0.0000 2.4841 2.5002
Tm 0.0000 2.4841 7.4308
Tm 2.4841 0.0000 2.5002
Tm 2.4841 0.0000 7.4308
```

Results
DOS at the Fermi energy: 1.396 states/eV per atom
Energy of formation from the pure elements: 0.025 eV/atom